No. 1
First-principles (GGA-PBE) data for crystalline ZrIr2Br at its relaxed geometry, as listed in Alexandria via LeMat-Bulk. Values from VASP.

```
&SYSTEM
  ibrav = 0, nat = 4, ntyp = 3
/
ATOMIC_SPECIES
Ir 192.22 Ir.upf
Zr 91.22 Zr.upf
Br 79.90 Br.upf
CELL_PARAMETERS angstrom
-0.485 -3.990 3.793
1.560 -5.138 -1.309
1.412 5.305 0.638
ATOMIC_POSITIONS angstrom
Ir 1.068 -9.075 2.469
Ir 0.544 -4.618 1.256
Zr 1.755 -2.199 0.285
Br 0.732 -1.625 2.836
```

Calculated values
E above lowest polymorph: 148 meV/atom
SG: Immm (71)
Raw total energy: -6.975 eV/atom

=====

No. 2
First-principles (GGA-PBE) data for crystalline Zr2IrBr at its relaxed geometry, as listed in Alexandria via LeMat-Bulk. Values from VASP.

```
&SYSTEM
  ibrav = 0, nat = 4, ntyp = 3
/
ATOMIC_SPECIES
Zr 91.22 Zr.upf
Ir 192.22 Ir.upf
Br 79.90 Br.upf
CELL_PARAMETERS angstrom
-3.019 -2.547 3.096
0.047 -3.330 -3.754
2.202 -1.922 1.205
ATOMIC_POSITIONS angstrom
Zr -1.486 -2.939 -0.329
Zr 0.000 0.000 0.000
Ir 1.124 -2.626 -1.274
Br -0.409 -2.235 2.150
```

Calculated values
E above lowest polymorph: 349 meV/atom
SG: C2/m (12)
Raw total energy: -7.259 eV/atom

=====

No. 3
First-principles (GGA-PBE) data for crystalline ZrIrBr at its relaxed geometry, as listed in Alexandria via LeMat-Bulk. Values from VASP.

```
&SYSTEM
  ibrav = 0, nat = 3, ntyp = 3
/
ATOMIC_SPECIES
Br 79.90 Br.upf
Ir 192.22 Ir.upf
Zr 91.22 Zr.upf
CELL_PARAMETERS angstrom
4.560 0.000 0.000
2.280 3.949 0.000
2.280 1.316 3.723
ATOMIC_POSITIONS angstrom
Br 4.560 2.633 1.862
Ir 6.840 3.949 2.792
Zr 0.000 0.000 0.000
```

Calculated values
E above lowest polymorph: 546 meV/atom
SG: F-43m (216)
Raw total energy: -6.366 eV/atom

=====

No. 4
First-principles (GGA-PBE) data for crystalline ZrIr2Br at its relaxed geometry, as listed in Alexandria via LeMat-Bulk. Values from VASP.

```
&SYSTEM
  ibrav = 0, nat = 8, ntyp = 3
/
ATOMIC_SPECIES
Ir 192.22 Ir.upf
Br 79.90 Br.upf
Zr 91.22 Zr.upf
CELL_PARAMETERS angstrom
-0.357 -3.753 4.197
3.934 -3.175 -2.505
6.193 -0.437 3.927
ATOMIC_POSITIONS angstrom
Ir 6.096 -3.014 3.511
Ir 3.953 -2.667 0.058
Ir 7.666 -6.302 4.496
Ir 1.827 -2.747 3.175
Br 5.958 -3.538 1.134
Br 1.789 -3.464 0.846
Zr 0.000 0.000 0.000
Zr 3.813 -3.827 4.486
```

Calculated values
E above lowest polymorph: 742 meV/atom
SG: I-42d (122)
Raw total energy: -6.381 eV/atom

=====

No. 5
First-principles (GGA-PBE) data for crystalline ZrIrBr4 at its relaxed geometry, as listed in Alexandria via LeMat-Bulk. Values from VASP.

```
&SYSTEM
  ibrav = 0, nat = 6, ntyp = 3
/
ATOMIC_SPECIES
Br 79.90 Br.upf
Ir 192.22 Ir.upf
Zr 91.22 Zr.upf
CELL_PARAMETERS angstrom
0.000 4.155 4.155
4.155 0.000 4.155
4.155 4.155 0.000
ATOMIC_POSITIONS angstrom
Br 5.193 5.193 3.117
Br 3.117 5.193 5.193
Br 5.193 3.117 5.193
Br 3.117 3.117 3.117
Ir 6.233 6.233 6.233
Zr 0.000 0.000 0.000
```

Calculated values
SG: F-43m (216)
Raw total energy: -2.812 eV/atom

=====

No. 6
First-principles (GGA-PBE) data for crystalline Zr2IrBr at its relaxed geometry, as listed in Alexandria via LeMat-Bulk. Values from VASP.

```
&SYSTEM
  ibrav = 0, nat = 4, ntyp = 3
/
ATOMIC_SPECIES
Zr 91.22 Zr.upf
Br 79.90 Br.upf
Ir 192.22 Ir.upf
CELL_PARAMETERS angstrom
5.248 0.000 0.000
0.000 3.201 0.023
0.000 0.532 4.813
ATOMIC_POSITIONS angstrom
Zr 2.624 1.096 1.780
Zr 0.000 0.636 4.394
Br 0.000 1.583 1.817
Ir 2.624 2.816 4.077
```

Calculated values
E above lowest polymorph: 302 meV/atom
SG: Pm (6)
Raw total energy: -7.306 eV/atom

=====

No. 7
First-principles (GGA-PBE) data for crystalline ZrIr2Br at its relaxed geometry, as listed in Alexandria via LeMat-Bulk. Values from VASP.

```
&SYSTEM
  ibrav = 0, nat = 4, ntyp = 3
/
ATOMIC_SPECIES
Zr 91.22 Zr.upf
Ir 192.22 Ir.upf
Br 79.90 Br.upf
CELL_PARAMETERS angstrom
9.332 0.007 0.004
8.836 3.001 0.004
8.836 1.463 2.620
ATOMIC_POSITIONS angstrom
Zr 13.484 2.232 1.312
Ir 6.807 1.127 0.663
Ir 26.784 4.434 2.607
Br 20.435 3.383 1.989
```

Calculated values
E above lowest polymorph: 377 meV/atom
SG: R3m (160)
Raw total energy: -6.746 eV/atom

=====

No. 8
First-principles (GGA-PBE) data for crystalline ZrIr2Br at its relaxed geometry, as listed in Alexandria via LeMat-Bulk. Values from VASP.

```
&SYSTEM
  ibrav = 0, nat = 4, ntyp = 3
/
ATOMIC_SPECIES
Ir 192.22 Ir.upf
Br 79.90 Br.upf
Zr 91.22 Zr.upf
CELL_PARAMETERS angstrom
3.035 0.000 0.000
0.000 4.749 0.000
0.000 0.000 4.763
ATOMIC_POSITIONS angstrom
Ir 0.000 0.000 0.000
Ir 1.518 2.374 0.000
Br 0.000 2.374 2.382
Zr 1.518 0.000 2.382
```

Calculated values
E above lowest polymorph: 283 meV/atom
SG: Pmmm (47)
Raw total energy: -6.840 eV/atom